Computed, not measured: a geometry-optimized HoZrNO structure at the PBE level of DFT.

Properties
Energy above the most stable polymorph in this dataset: 0.133 eV per atom

```
HoZrNO
1.0
4.156 0.000 0.000
0.000 4.156 0.000
0.000 0.000 8.111
Ho Zr O N
2 2 2 2
direct
0.750 0.750 0.887
0.250 0.250 0.113
0.750 0.250 0.500
0.250 0.750 0.500
0.250 0.750 0.000
0.750 0.250 0.000
0.250 0.250 0.576
0.750 0.750 0.424
```